<1>
## Te4PdBr (PBE)

Data for a geometry-optimized Te4PdBr structure.

a = 5.915 Å, b = 7.740 Å, c = 9.219 Å
α = 114.82°, β = 85.07°, γ = 90.00°
Fractional positions:
Te  0.327  0.726  0.453
Te  0.429  0.140  0.773
Te  0.000  0.281  0.000
Te  0.571  0.367  0.227
Te  0.673  0.274  0.547
Te  0.571  0.860  0.227
Te  0.000  0.719  0.000
Te  0.429  0.633  0.773
Pd  0.296  0.559  0.117
Pd  0.704  0.441  0.883
Br  0.903  0.816  0.632
Br  0.097  0.184  0.368

Values from the calculation:
Its symmetry is C2/m (12). The density of states at the Fermi level comes out at 7.148 states/eV per cell. The volume is 31.78 A^3/atom. For the total magnetic moment, the calculation gives 0.00 μB per formula unit.

---

<2>
## Te4PdBr (PBE)

Data for a geometry-optimized Te4PdBr structure.

a = 8.206 Å, b = 8.328 Å, c = 8.311 Å
α = 64.76°, β = 123.21°, γ = 123.19°
Fractional positions:
Te  0.098  0.363  0.116
Te  0.972  0.788  0.185
Te  0.401  0.884  0.637
Te  0.599  0.116  0.363
Te  0.902  0.637  0.884
Te  0.471  0.185  0.787
Te  0.529  0.815  0.213
Te  0.028  0.212  0.815
Pd  0.750  0.013  0.988
Pd  0.250  0.987  0.012
Br  0.251  0.495  0.507
Br  0.749  0.505  0.493

Values from the calculation:
Its symmetry is P-1 (2). The density of states at the Fermi level comes out at 6.375 states/eV per cell. The volume is 32.60 A^3/atom. For the total magnetic moment, the calculation gives 0.00 μB per formula unit.

---

What is the stability order? It is <2>, <1>, from most stable to least stable.

---

<1>
## TePd3Br (PBE)

Data for a geometry-optimized TePd3Br structure.

a = 4.409 Å, b = 7.868 Å, c = 6.978 Å
α = 96.85°, β = 81.74°, γ = 116.99°
Fractional positions:
Te  0.116  0.409  0.760
Te  0.884  0.591  0.240
Pd  0.228  0.431  0.373
Pd  0.508  0.322  0.986
Pd  0.183  0.937  0.116
Pd  0.772  0.569  0.627
Pd  0.817  0.063  0.884
Pd  0.492  0.678  0.014
Br  0.230  0.932  0.700
Br  0.770  0.068  0.300

Values from the calculation:
Its symmetry is P-1 (2). The density of states at the Fermi level comes out at 7.349 states/eV per cell. The volume is 21.31 A^3/atom. For the total magnetic moment, the calculation gives 0.00 μB per formula unit.

---

<2>
## TePd3Br (PBE)

Data for a geometry-optimized TePd3Br structure.

a = 4.832 Å, b = 4.832 Å, c = 4.832 Å
α = 90.00°, β = 90.00°, γ = 90.00°
Fractional positions:
Te  0.500  0.500  0.500
Br  0.000  0.000  0.000
Pd  0.000  0.500  0.000
Pd  0.000  0.000  0.500
Pd  0.500  0.000  0.000

Values from the calculation:
Its symmetry is Pm-3m (221). The density of states at the Fermi level comes out at 4.050 states/eV per cell. The volume is 22.56 A^3/atom. For the total magnetic moment, the calculation gives 0.00 μB per formula unit.

---

What is the stability order? It is <1>, <2>, from most stable to least stable.

---

<1>
## TePdBr3 (PBE)

Data for a geometry-optimized TePdBr3 structure.

a = 5.134 Å, b = 5.134 Å, c = 5.134 Å
α = 90.00°, β = 90.00°, γ = 90.00°
Fractional positions:
Te  0.500  0.500  0.500
Br  0.000  0.500  0.000
Br  0.000  0.000  0.500
Br  0.500  0.000  0.000
Pd  0.000  0.000  0.000

Values from the calculation:
Its symmetry is Pm-3m (221). The density of states at the Fermi level comes out at 5.775 states/eV per cell. The volume is 27.06 A^3/atom. For the total magnetic moment, the calculation gives 0.00 μB per formula unit.

---

<2>
## TePdBr3 (PBE)

Data for a geometry-optimized TePdBr3 structure.

a = 3.715 Å, b = 6.941 Å, c = 13.313 Å
α = 99.95°, β = 87.21°, γ = 105.57°
Fractional positions:
Te  0.920  0.085  0.065
Te  0.768  0.675  0.994
Pd  0.032  0.351  0.691
Pd  0.656  0.410  0.368
Br  0.038  0.159  0.315
Br  0.777  0.578  0.175
Br  0.911  0.182  0.884
Br  0.426  0.115  0.623
Br  0.650  0.602  0.744
Br  0.262  0.646  0.437

Values from the calculation:
Its symmetry is P-1 (2). The density of states at the Fermi level comes out at 3.891 states/eV per cell. The volume is 32.58 A^3/atom. For the total magnetic moment, the calculation gives 0.00 μB per formula unit.

---

What is the stability order? It is <2>, <1>, from most stable to least stable.

---

<1>
## TePd2Br8 (PBE)

Data for a geometry-optimized TePd2Br8 structure.

a = 7.355 Å, b = 7.858 Å, c = 7.858 Å
α = 92.26°, β = 74.05°, γ = 74.05°
Site moments in Bohr magnetons follow the coordinates.
Fractional positions:
Te  0.000  0.000  0.000  -0.01
Pd  0.389  0.145  0.145  0.43
Pd  0.611  0.855  0.855  0.43
Br  0.814  0.076  0.743  0.08
Br  0.186  0.257  0.924  0.08
Br  0.661  0.234  0.234  0.03
Br  0.339  0.766  0.766  0.03
Br  0.814  0.743  0.076  0.08
Br  0.186  0.924  0.257  0.08
Br  0.175  0.396  0.396  0.03
Br  0.825  0.604  0.604  0.03

Values from the calculation:
Its symmetry is C2/m (12). The density of states at the Fermi level comes out at 6.716 states/eV per cell. The volume is 37.87 A^3/atom. For the total magnetic moment, the calculation gives 1.52 μB per formula unit.

---

<2>
## TePd2Br8 (PBE)

Data for a geometry-optimized TePd2Br8 structure.

a = 9.781 Å, b = 7.314 Å, c = 8.768 Å
α = 99.16°, β = 90.00°, γ = 131.96°
Site moments in Bohr magnetons follow the coordinates.
Fractional positions:
Te  0.000  0.000  0.000  0.04
Pd  0.864  0.728  0.600  0.30
Pd  0.136  0.272  0.400  0.30
Br  0.959  0.296  0.181  0.08
Br  0.336  0.296  0.181  0.08
Br  0.041  0.704  0.819  0.08
Br  0.361  0.721  0.507  0.05
Br  0.664  0.704  0.819  0.08
Br  0.897  0.794  0.325  0.04
Br  0.103  0.206  0.675  0.04
Br  0.639  0.279  0.493  0.05

Values from the calculation:
Its symmetry is C2/m (12). The density of states at the Fermi level comes out at 11.008 states/eV per cell. The volume is 41.42 A^3/atom. For the total magnetic moment, the calculation gives 1.36 μB per formula unit.

---

What is the stability order? It is <2>, <1>, from most stable to least stable.

---

<1>
## Tl2PdBr2 (PBE)

Data for a geometry-optimized Tl2PdBr2 structure.

a = 7.332 Å, b = 7.332 Å, c = 5.409 Å
α = 90.00°, β = 90.00°, γ = 90.00°
Fractional positions:
Tl  0.167  0.667  0.500
Tl  0.667  0.833  0.500
Tl  0.833  0.333  0.500
Tl  0.333  0.167  0.500
Br  0.321  0.821  0.000
Br  0.821  0.679  0.000
Br  0.679  0.179  0.000
Br  0.179  0.321  0.000
Pd  0.000  0.000  0.000
Pd  0.500  0.500  0.000

Values from the calculation:
Its symmetry is P4/mbm (127). The density of states at the Fermi level comes out at 1.398 states/eV per cell. The volume is 29.08 A^3/atom. For the total magnetic moment, the calculation gives 0.00 μB per formula unit.

---

<2>
## Tl2PdBr2 (PBE)

Data for a geometry-optimized Tl2PdBr2 structure.

a = 6.500 Å, b = 6.500 Å, c = 6.248 Å
α = 58.65°, β = 58.65°, γ = 90.00°
Fractional positions:
Tl  0.750  0.250  0.500
Tl  0.250  0.750  0.500
Br  0.289  0.289  0.423
Br  0.711  0.711  0.577
Pd  0.000  0.000  0.000

Values from the calculation:
Its symmetry is I4/mmm (139). The density of states at the Fermi level comes out at 0.000 states/eV per cell. The volume is 35.76 A^3/atom. For the total magnetic moment, the calculation gives 0.00 μB per formula unit.

---

What is the stability order? It is <2>, <1>, from most stable to least stable.